Density functional theory data (PBE) for a geometry-optimized HfUSe2 structure.

Space-group type ... R-3m (166)
Spin magnetization ... 0.91 μB/atom
E_form (uncorrected) ... -0.598 eV/atom
Crystal system ... trigonal

Unit cell a=9.4812 b=9.4812 c=9.4812 alpha=21.57 beta=21.57 gamma=21.57
Fractional coordinates of all 4 atoms:
1 Hf 0.0000 0.0000 0.0000
2 U 0.5000 0.5000 0.5000
3 Se 0.3948 0.3948 0.3948
4 Se 0.6052 0.6052 0.6052

Density functional theory data (PBE) for a geometry-optimized Ce2PuFe2N6 structure.

Space-group type ... R-3m (166)
Spin magnetization ... 0.88 μB/atom
E_form (uncorrected) ... -0.633 eV/atom
Crystal system ... trigonal

Unit cell a=6.5046 b=6.5046 c=6.5046 alpha=51.52 beta=51.52 gamma=51.52
Fractional coordinates of all 11 atoms:
1 Ce 0.2083 0.2083 0.2083
2 Ce 0.7917 0.7917 0.7917
3 Pu 0.0000 0.0000 0.0000
4 Fe 0.4088 0.4088 0.4088
5 Fe 0.5912 0.5912 0.5912
6 N 0.2251 0.7473 0.7473
7 N 0.2527 0.2527 0.7749
8 N 0.2527 0.7749 0.2527
9 N 0.7473 0.2251 0.7473
10 N 0.7473 0.7473 0.2251
11 N 0.7749 0.2527 0.2527

Density functional theory data (PBE) for a geometry-optimized Be2BS structure.

Space-group type ... Pmm2 (25)
Spin magnetization ... 0.01 μB/atom
Distance to the lowest polymorph of the same formula ... 10.9 kJ/mol of atoms
E_form (uncorrected) ... -0.240 eV/atom
Crystal system ... orthorhombic

Unit cell a=3.1647 b=3.5044 c=8.7773 alpha=90.00 beta=90.00 gamma=90.00
Fractional coordinates of all 8 atoms:
1 Be 0.0000 0.0000 0.0000
2 Be 0.0000 0.5000 0.3231
3 Be 0.5000 0.0000 0.6014
4 Be 0.5000 0.5000 0.9716
5 B 0.0000 0.5000 0.1062
6 B 0.5000 0.5000 0.1859
7 S 0.0000 0.0000 0.4679
8 S 0.5000 0.0000 0.8312

Density functional theory data (PBE) for a geometry-optimized Cu2SiAs structure.

Space-group type ... Pmmm (47)
Spin magnetization ... 0.00 μB/atom
E_form (uncorrected) ... 0.241 eV/atom
Crystal system ... orthorhombic

Unit cell a=3.7368 b=3.9216 c=3.9396 alpha=90.00 beta=90.00 gamma=90.00
Fractional coordinates of all 4 atoms:
1 Cu 0.0000 0.0000 0.0000
2 Cu 0.0000 0.5000 0.5000
3 Si 0.5000 0.0000 0.5000
4 As 0.5000 0.5000 0.0000

Density functional theory data (PBE) for a geometry-optimized MnGa2I structure.

Space-group type ... Fm-3m (225)
Spin magnetization ... 0.01 μB/atom
E_form (uncorrected) ... 1.126 eV/atom
Crystal system ... cubic

Unit cell a=4.6197 b=4.6197 c=4.6197 alpha=60.00 beta=60.00 gamma=60.00
Fractional coordinates of all 4 atoms:
1 Mn 0.0000 0.0000 0.0000
2 Ga 0.2500 0.2500 0.2500
3 Ga 0.7500 0.7500 0.7500
4 I 0.5000 0.5000 0.5000

Density functional theory data (PBE) for a geometry-optimized MnTlOs4 structure.

Energy relative to the elements ... 5.09 eV/f.u.
Space-group type ... F-43m (216)
Spin magnetization ... 0.45 μB/atom
Crystal system ... cubic

Unit cell a=5.2301 b=5.2301 c=5.2301 alpha=60.00 beta=60.00 gamma=60.00
Fractional coordinates of all 6 atoms:
1 Mn 0.0000 0.0000 0.0000
2 Tl 0.2500 0.2500 0.2500
3 Os 0.1239 0.6254 0.6254
4 Os 0.6254 0.1239 0.6254
5 Os 0.6254 0.6254 0.1239
6 Os 0.6254 0.6254 0.6254

Density functional theory data (PBE) for a geometry-optimized Nb6Mo2W structure.

Energy relative to the elements ... 2.10 eV/f.u.
Space-group type ... P-3 (147)
Spin magnetization ... 0.00 μB/atom
Distance to the lowest polymorph of the same formula ... 0.0 kJ/mol of atoms
Crystal system ... trigonal

Unit cell a=7.6842 b=7.6842 c=3.1706 alpha=90.00 beta=90.00 gamma=120.00
Fractional coordinates of all 9 atoms:
1 Nb 0.0688 0.7021 0.2754
2 Nb 0.2979 0.3666 0.2754
3 Nb 0.3666 0.0688 0.7246
4 Nb 0.6334 0.9312 0.2754
5 Nb 0.7021 0.6334 0.7246
6 Nb 0.9312 0.2979 0.7246
7 Mo 0.3333 0.6667 0.7752
8 Mo 0.6667 0.3333 0.2248
9 W 0.0000 0.0000 0.0000

Density functional theory data (PBE) for a geometry-optimized CaSiP2S structure.

Space-group type ... P4/mmm (123)
Spin magnetization ... 0.06 μB/atom
Distance to the lowest polymorph of the same formula ... 121.7 kJ/mol of atoms
E_form (uncorrected) ... 1.114 eV/atom
Crystal system ... tetragonal

Unit cell a=5.1668 b=5.1668 c=5.0816 alpha=90.00 beta=90.00 gamma=90.00
Fractional coordinates of all 5 atoms:
1 Ca 0.0000 0.0000 0.0000
2 Si 0.5000 0.5000 0.5000
3 P 0.0000 0.5000 0.0000
4 P 0.5000 0.0000 0.0000
5 S 0.0000 0.0000 0.5000

Density functional theory data (PBE) for a geometry-optimized MgAgTe2 structure.

Space-group type ... R3m (160)
Spin magnetization ... 0.00 μB/atom
E_form (uncorrected) ... -0.004 eV/atom
Crystal system ... trigonal

Unit cell a=11.1435 b=11.1435 c=11.1435 alpha=17.09 beta=17.09 gamma=17.09
Fractional coordinates of all 4 atoms:
1 Mg 0.0000 0.0000 0.0000
2 Ag 0.7291 0.7291 0.7291
3 Te 0.2608 0.2608 0.2608
4 Te 0.4719 0.4719 0.4719

Density functional theory data (PBE) for a geometry-optimized KLa2Pb structure.

Energy relative to the elements ... 0.46 eV/f.u.
Space-group type ... I-42d (122)
Spin magnetization ... 0.00 μB/atom
Crystal system ... tetragonal

Unit cell a=7.6151 b=7.6151 c=7.6151 alpha=102.72 beta=102.72 gamma=124.02
Fractional coordinates of all 8 atoms:
1 K 0.0000 0.0000 0.0000
2 K 0.7500 0.2500 0.5000
3 La 0.1651 0.6250 0.0401
4 La 0.3750 0.4151 0.5401
5 La 0.5849 0.1250 0.9599
6 La 0.8750 0.8349 0.4599
7 Pb 0.2500 0.7500 0.5000
8 Pb 0.5000 0.5000 0.0000

Density functional theory data (PBE) for a geometry-optimized Li3TbNp2Te6 structure.

Space-group type ... C2/m (12)
Spin magnetization ... 0.67 μB/atom
E_form (uncorrected) ... -0.951 eV/atom
Crystal system ... monoclinic

Unit cell a=7.5802 b=7.5802 c=7.4864 alpha=99.70 beta=99.70 gamma=120.00
Fractional coordinates of all 12 atoms:
1 Li 0.0000 0.0000 0.0000
2 Li 0.3340 0.6660 0.0000
3 Li 0.6660 0.3340 0.0000
4 Tb 0.5000 0.5000 0.5000
5 Np 0.1668 0.8332 0.5000
6 Np 0.8332 0.1668 0.5000
7 Te 0.0823 0.4140 0.2420
8 Te 0.2541 0.2541 0.7578
9 Te 0.4140 0.0823 0.2420
10 Te 0.5860 0.9177 0.7580
11 Te 0.7459 0.7459 0.2422
12 Te 0.9177 0.5860 0.7580

Density functional theory data (PBE) for a geometry-optimized SrAsPt2 structure.

Energy relative to the elements ... -0.71 eV/f.u.
Space-group type ... F-43m (216)
Spin magnetization ... 0.00 μB/atom
Crystal system ... cubic

Unit cell a=4.8437 b=4.8437 c=4.8437 alpha=60.00 beta=60.00 gamma=60.00
Fractional coordinates of all 4 atoms:
1 Sr 0.0000 0.0000 0.0000
2 As 0.7500 0.7500 0.7500
3 Pt 0.2500 0.2500 0.2500
4 Pt 0.5000 0.5000 0.5000

Density functional theory data (PBE) for a geometry-optimized NaTmAg2Br6 structure.

Space-group type ... R3 (146)
Spin magnetization ... 0.00 μB/atom
E_form (uncorrected) ... -1.171 eV/atom
Crystal system ... trigonal

Unit cell a=7.8262 b=7.8262 c=7.8262 alpha=55.05 beta=55.05 gamma=55.05
Fractional coordinates of all 10 atoms:
1 Na 0.0000 0.0000 0.0000
2 Tm 0.4935 0.4935 0.4935
3 Ag 0.3032 0.3032 0.3032
4 Ag 0.8103 0.8103 0.8103
5 Br 0.0997 0.7078 0.4151
6 Br 0.2400 0.5848 0.8852
7 Br 0.4151 0.0997 0.7078
8 Br 0.5848 0.8852 0.2400
9 Br 0.7078 0.4151 0.0997
10 Br 0.8852 0.2400 0.5848

Density functional theory data (PBE) for a geometry-optimized Hg3Br2 structure.

Space-group type ... R-3m (166)
Spin magnetization ... 0.00 μB/atom
Distance to the lowest polymorph of the same formula ... 6.9 kJ/mol of atoms
E_form (uncorrected) ... -0.219 eV/atom
Crystal system ... trigonal

Unit cell a=12.9142 b=12.9142 c=12.9142 alpha=18.22 beta=18.22 gamma=18.22
Fractional coordinates of all 5 atoms:
1 Hg 0.0000 0.0000 0.0000
2 Hg 0.2005 0.2005 0.2005
3 Hg 0.7995 0.7995 0.7995
4 Br 0.3759 0.3759 0.3759
5 Br 0.6241 0.6241 0.6241

Density functional theory data (PBE) for a geometry-optimized BaLa2Mo structure.

Energy relative to the elements ... 2.65 eV/f.u.
Space-group type ... R3m (160)
Spin magnetization ... 0.00 μB/atom
Distance to the lowest polymorph of the same formula ... 29.7 kJ/mol of atoms
Crystal system ... trigonal

Unit cell a=11.3997 b=11.3997 c=11.3997 alpha=18.65 beta=18.65 gamma=18.65
Fractional coordinates of all 4 atoms:
1 Ba 0.0000 0.0000 0.0000
2 La 0.2228 0.2228 0.2228
3 La 0.4647 0.4647 0.4647
4 Mo 0.7416 0.7416 0.7416

The records above yield total energy values of -7.651 -9.095 -4.805 -4.325 -3.068 -8.561 -10.326 -3.360 -2.686 -3.550 -5.542 -4.781 -3.324 -1.069 -4.991 eV/atom, respectively.